Material: CsMnCuBr5
Method: DFT, PBE
State: relaxed

## Properties
- Theoretical density: 4.14 g/cm³
- E_tot: -0.134 hartree per atom

Cell and atoms, written as CIF:
```
data_CsMnCuBr5
_chemical_formula_sum 'Cs4 Mn4 Cu4 Br20'
_cell_length_a 9.278
_cell_length_b 12.357
_cell_length_c 9.801
_cell_angle_alpha 90.00
_cell_angle_beta 111.51
_cell_angle_gamma 90.00
_symmetry_space_group_name_H-M 'C 1 2/c 1'
_symmetry_Int_Tables_number 15
loop_
_symmetry_equiv_pos_as_xyz
'x,y,z'
'-x,-y,-z'
'-x,y,-z+1/2'
'x,-y,z+1/2'
'x+1/2,y+1/2,z'
'-x+1/2,-y+1/2,-z'
'-x+1/2,y+1/2,-z+1/2'
'x+1/2,-y+1/2,z+1/2'
loop_
_atom_site_label
_atom_site_type_symbol
_atom_site_fract_x
_atom_site_fract_y
_atom_site_fract_z
Cs1 Cs 0.000 0.151 0.250
Mn1 Mn 0.000 0.500 0.000
Cu1 Cu 0.000 0.192 0.750
Br1 Br 0.000 0.439 0.250
Br2 Br 0.093 0.310 0.595
Br3 Br 0.202 0.082 0.927
```